No. 1
# GGA-PBE HfTi3Co4, relaxed
# formation energy from the elements = -2.97 eV/f.u.
# total energy = -8.13 eV per atom
# theoretical density = 8.4 Mg/m³
# density of states at the Fermi level = 0.96 states/eV per atom
data_HfTi3Co4
_space_group_name_H-M_alt 'P 4/m m m'
_space_group_IT_number 123
_space_group_name_Hall '-P 4 2'
_cell_length_a 4.2337
_cell_length_b 4.2337
_cell_length_c 6.1800
_cell_angle_alpha 90.00
_cell_angle_beta 90.00
_cell_angle_gamma 90.00
loop_
_atom_site_label
_atom_site_type_symbol
_atom_site_fract_x
_atom_site_fract_y
_atom_site_fract_z
_atom_site_occupancy
Hf1 Hf 0.0000 0.0000 0.0000 1
Ti1 Ti 0.0000 0.0000 0.5000 1
Ti2 Ti 0.5000 0.5000 0.0000 1
Ti3 Ti 0.5000 0.5000 0.5000 1
Co1 Co 0.0000 0.5000 0.2634 1

No. 2
# GGA-PBE TcTe2Se, relaxed
# total energy = -4.57 eV per atom
# raw formation energy = 467 meV per atom
# theoretical density = 7.7 Mg/m³
# density of states at the Fermi level = 1.01 states/eV per atom
data_TcTe2Se
_space_group_name_H-M_alt 'C m m m'
_space_group_IT_number 65
_space_group_name_Hall '-C 2 2'
_cell_length_a 3.3444
_cell_length_b 5.1740
_cell_length_c 10.7112
_cell_angle_alpha 90.00
_cell_angle_beta 90.00
_cell_angle_gamma 90.00
loop_
_atom_site_label
_atom_site_type_symbol
_atom_site_fract_x
_atom_site_fract_y
_atom_site_fract_z
_atom_site_occupancy
Tc1 Tc 0.0000 0.0000 0.0000 1
Te1 Te 0.0000 0.5000 0.2020 1
Se1 Se 0.0000 0.0000 0.5000 1

No. 3
# GGA-PBE La5ThAg, relaxed
# formation energy from the elements = 0.35 eV/f.u.
# total energy = -4.94 eV per atom
# theoretical density = 7.3 Mg/m³
# density of states at the Fermi level = 1.43 states/eV per atom
data_La5ThAg
_space_group_name_H-M_alt 'C 1 2/c 1'
_space_group_IT_number 15
_cell_length_a 8.7571
_cell_length_b 8.7580
_cell_length_c 12.6625
_cell_angle_alpha 90.00
_cell_angle_beta 103.57
_cell_angle_gamma 90.00
loop_
_space_group_symop_operation_xyz
'x,y,z'
'-x,-y,-z'
'-x,y,-z+1/2'
'x,-y,z+1/2'
'x+1/2,y+1/2,z'
'-x+1/2,-y+1/2,-z'
'-x+1/2,y+1/2,-z+1/2'
'x+1/2,-y+1/2,z+1/2'
loop_
_atom_site_label
_atom_site_type_symbol
_atom_site_fract_x
_atom_site_fract_y
_atom_site_fract_z
_atom_site_occupancy
La1 La 0.0000 0.1460 0.2500 1
La2 La 0.1527 0.1401 0.5681 1
La3 La 0.2173 0.1714 0.8640 1
Th1 Th 0.0000 0.4595 0.7500 1
Ag1 Ag 0.0000 0.5000 0.0000 1

No. 4
# GGA-PBE BaTl2Se, relaxed
# total energy = -3.09 eV per atom
# raw formation energy = -555 meV per atom
# theoretical density = 8.1 Mg/m³
# density of states at the Fermi level = 1.05 states/eV per atom
data_BaTl2Se
_space_group_name_H-M_alt 'F -4 3 m'
_space_group_IT_number 216
_space_group_name_Hall 'F -4 2 3'
_cell_length_a 7.9940
_cell_length_b 7.9940
_cell_length_c 7.9940
_cell_angle_alpha 90.00
_cell_angle_beta 90.00
_cell_angle_gamma 90.00
loop_
_atom_site_label
_atom_site_type_symbol
_atom_site_fract_x
_atom_site_fract_y
_atom_site_fract_z
_atom_site_occupancy
Ba1 Ba 0.0000 0.0000 0.0000 1
Tl1 Tl 0.0000 0.0000 0.5000 1
Tl2 Tl 0.2500 0.2500 0.7500 1
Se1 Se 0.2500 0.2500 0.2500 1

No. 5
# GGA-PBE Li6CuPd2, relaxed
# energy relative to the lowest polymorph listed for this composition = 0 meV/atom
# formation energy from the elements = -1.98 eV/f.u.
# total energy = -3.10 eV per atom
# theoretical density = 3.7 Mg/m³
# density of states at the Fermi level = 0.35 states/eV per atom
data_Li6CuPd2
_space_group_name_H-M_alt 'P -1'
_space_group_IT_number 2
_cell_length_a 4.9174
_cell_length_b 6.9715
_cell_length_c 8.6788
_cell_angle_alpha 104.40
_cell_angle_beta 95.70
_cell_angle_gamma 95.47
loop_
_space_group_symop_operation_xyz
'x,y,z'
'-x,-y,-z'
loop_
_atom_site_label
_atom_site_type_symbol
_atom_site_fract_x
_atom_site_fract_y
_atom_site_fract_z
_atom_site_occupancy
Li1 Li 0.0207 0.3757 0.3561 1
Li2 Li 0.0315 0.6784 0.9597 1
Li3 Li 0.1513 0.0130 0.2466 1
Li4 Li 0.2142 0.3101 0.6846 1
Li5 Li 0.3421 0.8673 0.5511 1
Li6 Li 0.4149 0.1020 0.9002 1
Cu1 Cu 0.5000 0.5000 0.0000 1
Cu2 Cu 0.5000 0.5000 0.5000 1
Pd1 Pd 0.2786 0.6546 0.2556 1
Pd2 Pd 0.4881 0.7041 0.7898 1

No. 6
# GGA-PBE TmTiF6, relaxed
# total energy = -6.60 eV per atom
# raw formation energy = -3648 meV per atom
# theoretical density = 4.7 Mg/m³
# density of states at the Fermi level = 0.47 states/eV per atom
data_TmTiF6
_space_group_name_H-M_alt 'C 1 2/m 1'
_space_group_IT_number 12
_cell_length_a 5.2924
_cell_length_b 8.5247
_cell_length_c 5.2630
_cell_angle_alpha 90.00
_cell_angle_beta 101.88
_cell_angle_gamma 90.00
loop_
_space_group_symop_operation_xyz
'x,y,z'
'-x,-y,-z'
'-x,y,-z'
'x,-y,z'
'x+1/2,y+1/2,z'
'-x+1/2,-y+1/2,-z'
'-x+1/2,y+1/2,-z'
'x+1/2,-y+1/2,z'
loop_
_atom_site_label
_atom_site_type_symbol
_atom_site_fract_x
_atom_site_fract_y
_atom_site_fract_z
_atom_site_occupancy
Tm1 Tm 0.0000 0.0000 0.0000 1
Ti1 Ti 0.0000 0.5000 0.5000 1
F1 F 0.2254 0.3499 0.7490 1
F2 F 0.2493 0.0000 0.7227 1